PuNi5P3 after structural relaxation, computed with PBE.

Unit cell a=6.111 b=6.111 c=11.372 alpha=90.00 beta=90.00 gamma=146.02
Fractional positions:
1 Pu 0.155 0.845 0.750
2 Pu 0.845 0.155 0.250
3 Ni 0.000 0.000 0.000
4 Ni 0.000 0.000 0.500
5 Ni 0.199 0.801 0.067
6 Ni 0.199 0.801 0.433
7 Ni 0.444 0.556 0.644
8 Ni 0.444 0.556 0.856
9 Ni 0.556 0.444 0.144
10 Ni 0.556 0.444 0.356
11 Ni 0.801 0.199 0.567
12 Ni 0.801 0.199 0.933
13 P 0.122 0.878 0.250
14 P 0.383 0.617 0.046
15 P 0.383 0.617 0.454
16 P 0.617 0.383 0.546
17 P 0.617 0.383 0.954
18 P 0.878 0.122 0.750

Output
- Calculated formation energy: -0.70 eV per atom
- SG: No. 63